Entry 1:
# BaEr4Hg5, optimized geometry, DFT PBE
data_BaEr4Hg5
_chemical_formula_sum 'Ba1 Er4 Hg5'
_cell_length_a 3.758
_cell_length_b 3.758
_cell_length_c 19.143
_cell_angle_alpha 90.00
_cell_angle_beta 90.00
_cell_angle_gamma 90.00
_symmetry_space_group_name_H-M 'P 4/m m m'
_symmetry_Int_Tables_number 123
_symmetry_space_group_name_Hall '-P 4 2'
loop_
_atom_site_label
_atom_site_type_symbol
_atom_site_fract_x
_atom_site_fract_y
_atom_site_fract_z
Ba1 Ba 0.000 0.000 0.000
Er1 Er 0.000 0.000 0.216
Er2 Er 0.000 0.000 0.406
Hg1 Hg 0.500 0.500 0.129
Hg2 Hg 0.500 0.500 0.311
Hg3 Hg 0.500 0.500 0.500
# Theoretical density, Mg/m³: 11.11
# Raw total energy, eV for the cell shown: -26.4



Entry 2:
# Ba2ErIn3Hg12, optimized geometry, DFT PBE
data_Ba2ErIn3Hg12
_chemical_formula_sum 'Ba6 Er3 In9 Hg36'
_cell_length_a 6.9663
_cell_length_b 6.9663
_cell_length_c 39.1907
_cell_angle_alpha 90.00
_cell_angle_beta 90.00
_cell_angle_gamma 120.00
_symmetry_space_group_name_H-M 'R -3 m'
_symmetry_Int_Tables_number 166
_symmetry_space_group_name_Hall '-R 3 2"'
loop_
_atom_site_label
_atom_site_type_symbol
_atom_site_fract_x
_atom_site_fract_y
_atom_site_fract_z
Ba1 Ba 0.0000 0.0000 0.1389
Er1 Er 0.0000 0.0000 0.5000
In1 In 0.0000 0.5000 0.0000
Hg1 Hg 0.0131 0.5065 0.8879
Hg2 Hg 0.0348 0.5174 0.6116
# Theoretical density, Mg/m³: 9.66
# Raw total energy, eV for the cell shown: -69.9



Number 1: total moment 0.0 μB/cell, density of states at the Fermi level 0.62 states/eV per atom. Number 2: total moment 0.0 μB/cell, density of states at the Fermi level 0.66 states/eV per atom.